# RbTl2Ag2Br7

A relaxed structure of RbTl2Ag2Br7 (GGA-PBE, the Alexandria database).

a b c (Å): 5.459 5.459 14.033
angles (deg): 78.83 78.83 89.71
Sites, in units of the cell vectors:
Rb  0.000  0.000  0.000
Tl  0.782  0.782  0.361
Tl  0.218  0.218  0.639
Ag  0.597  0.597  0.799
Ag  0.403  0.403  0.201
Br  0.500  0.500  0.000
Br  0.322  0.322  0.399
Br  0.678  0.678  0.601
Br  0.907  0.402  0.194
Br  0.402  0.907  0.194
Br  0.598  0.093  0.806
Br  0.093  0.598  0.806

Properties
Formation energy (no corrections) in eV/f.u.: -8.4

***

# AcLa2InIr

A relaxed structure of AcLa2InIr (GGA-PBE, the Alexandria database).

a b c (Å): 5.576 5.577 5.852
angles (deg): 90.00 90.00 90.00
Sites, in units of the cell vectors:
Ac  0.000  0.000  0.500
La  0.000  0.500  0.000
La  0.500  0.000  0.000
In  0.500  0.500  0.501
Ir  0.000  0.000  0.000

Properties
ΔH_f (0 K) in eV/atom: -0.43

***

| no. | ρ (g cm⁻³) | size of the total moment (μB/cell) |
| --- | --- | --- |
| 1 | 5.2 | 0.0 |
| 2 | 7.4 | 0.0 |